A relaxed structure of CsScVO4. Source: Alexandria via LeMat-Bulk, functional PBE+U.

- symmetry = No. 11
- E (eV per atom) = -7.33

Cell lengths 5.6127, 5.7418, 7.8345 Å; angles 90.00, 93.07, 90.00 degrees
Positions (direct):
Cs: 0.2209 0.2500 0.1112
Cs: 0.7791 0.7500 0.8888
Sc: 0.1673 0.7500 0.4704
Sc: 0.8327 0.2500 0.5296
V: 0.3504 0.2500 0.6465
V: 0.6496 0.7500 0.3535
O: 0.1170 0.0198 0.6495
O: 0.1170 0.4802 0.6495
O: 0.3631 0.7500 0.2386
O: 0.4730 0.2500 0.4384
O: 0.5270 0.7500 0.5616
O: 0.6369 0.2500 0.7614
O: 0.8830 0.5198 0.3505
O: 0.8830 0.9802 0.3505